# 1
KLiGa2Si: optimized geometry, PBE.

The calculation puts the raw formation energy at 0.3742 eV/atom. For the volume, the calculation gives 29.395 Å³/atom. The calculated total energy is -12.62 eV per cell.

Cell lengths 4.9317, 4.9317, 6.0431 Å; angles 90.00, 90.00, 90.00 degrees
With the nearest neighbours (Å) after each atom.
Space group P4/mmm (No. 123)
Inequivalent atoms, fractional coordinates:
K (0.0000, 0.0000, 0.0000) x1  2 Si 3.02
Li (0.5000, 0.5000, 0.0000) x1  4 K 3.49, 8 Ga 3.90
Ga (0.0000, 0.5000, 0.5000) x2  2 Si 2.47
Si (0.0000, 0.0000, 0.5000) x1  4 Ga 2.47



# 2
KLiGaSn2: optimized geometry, PBE.

For the volume, the calculation gives 35.320 Å³/atom. The calculation puts the formation energy at 0.233 eV/atom. The calculated total energy is -12.88 eV per cell.

Cell lengths 5.4411, 5.4411, 5.9651 Å; angles 90.00, 90.00, 90.00 degrees
With the nearest neighbours (Å) after each atom.
Space group P4/mmm (No. 123)
Inequivalent atoms, fractional coordinates:
K (0.0000, 0.0000, 0.0000) x1  2 Ga 2.98
Li (0.5000, 0.5000, 0.0000) x1  4 K 3.85, 8 Sn 4.04
Ga (0.0000, 0.0000, 0.5000) x1  4 Sn 2.72, 2 K 2.98
Sn (0.0000, 0.5000, 0.5000) x2  2 Ga 2.72



# 3
KSr2LiGa: optimized geometry, PBE.

For the volume, the calculation gives 43.635 Å³/atom. The calculation puts the formation energy at -0.005 eV/atom. The calculated total energy is -9.43 eV per cell.

Cell lengths 6.3460, 6.3460, 5.4176 Å; angles 90.00, 90.00, 90.00 degrees
With the nearest neighbours (Å) after each atom.
Space group P4/mmm (No. 123)
Inequivalent atoms, fractional coordinates:
K (0.0000, 0.0000, 0.0000) x1  8 Sr 4.17, 4 Li 4.49
Sr (0.0000, 0.5000, 0.5000) x2  2 Ga 3.17
Li (0.5000, 0.5000, 0.0000) x1  2 Ga 2.71
Ga (0.5000, 0.5000, 0.5000) x1  2 Li 2.71



# 4
K2LiGa2Te4: optimized geometry, PBE.

The calculation puts the raw formation energy at -0.6770 eV/atom. For the volume, the calculation gives 33.560 Å³/atom. The calculated total energy is -57.64 eV per cell.

Cell lengths 16.3680, 4.7128, 8.2015 Å; angles 90.00, 107.29, 90.00 degrees
With the nearest neighbours (Å) after each atom.
Space group C2/m (No. 12)
Inequivalent atoms, fractional coordinates:
K (0.1211, 0.0000, 0.0519) x4  7 Te 3.62-3.87, 1 K 3.80
Li (0.0000, 0.0000, 0.5000) x2  6 Te 3.13-3.21
Ga (0.1665, 0.5000, 0.4894) x4  4 Te 2.60-2.82
Te (0.0172, 0.5000, 0.2613) x4  1 Ga 2.60
Te (0.2038, 0.0000, 0.6733) x4  3 Ga 2.77-2.82